(1)
ZrOsO4 | PBE | relaxed

Output
Energy above the lowest structure with this stoichiometry, kJ per mole of atoms: 15.4

Unit cell a=5.8083 b=5.8083 c=5.8083 alpha=109.57 beta=109.57 gamma=109.28
Fractional coordinates of all 12 atoms:
Zr: 0.3750 0.6250 0.7500
Zr: 0.6250 0.3750 0.2500
Os: 0.1250 0.8750 0.2500
Os: 0.8750 0.1250 0.7500
O: 0.0864 0.6578 0.4287
O: 0.2709 0.3422 0.9287
O: 0.3422 0.2709 0.4287
O: 0.3422 0.9136 0.0713
O: 0.6578 0.0864 0.9287
O: 0.6578 0.7291 0.5713
O: 0.7291 0.6578 0.0713
O: 0.9136 0.3422 0.5713



(2)
Pr2Zn | PBE | relaxed

Output
Energy of formation, eV/atom: 0.026

Unit cell a=5.1278 b=5.1278 c=5.1278 alpha=60.00 beta=60.00 gamma=60.00
Fractional coordinates of all 3 atoms:
Pr: 0.2500 0.2500 0.2500
Pr: 0.7500 0.7500 0.7500
Zn: 0.0000 0.0000 0.0000



(3)
LaGdNO | PBE | relaxed

Output
Energy above the lowest structure with this stoichiometry, kJ per mole of atoms: 39.1

Unit cell a=4.2917 b=4.2917 c=8.6488 alpha=90.00 beta=90.00 gamma=90.00
Fractional coordinates of all 8 atoms:
La: 0.2500 0.2500 0.1238
La: 0.7500 0.7500 0.8762
Gd: 0.2500 0.7500 0.5000
Gd: 0.7500 0.2500 0.5000
N: 0.2500 0.2500 0.6207
N: 0.7500 0.7500 0.3793
O: 0.2500 0.7500 0.0000
O: 0.7500 0.2500 0.0000